1.
Below is a relaxed structure of Pm3Ga7Au2, with properties calculated at the PBE-GGA level.

abc: 4.320 4.316 13.796
angles: 90.00 98.96 90.00
Fractional coordinates of all 12 atoms:
1 Pm 0.000 0.000 0.000
2 Pm 0.316 0.500 0.632
3 Pm 0.684 0.500 0.368
4 Ga 0.079 0.500 0.161
5 Ga 0.227 0.000 0.454
6 Ga 0.420 0.000 0.839
7 Ga 0.500 0.500 0.000
8 Ga 0.580 0.000 0.161
9 Ga 0.773 0.000 0.546
10 Ga 0.921 0.500 0.839
11 Au 0.134 0.000 0.269
12 Au 0.866 0.000 0.731

Summary:
SG: P2/m, No. 10
DFT formation energy: -701 kJ/mol of formula units
theoretical density: 8.6 g cm⁻³
V: 254 Å³/cell



2.
Below is a relaxed structure of LiZr2Be, with properties calculated at the PBE-GGA level.

abc: 4.181 5.634 5.634
angles: 31.93 90.00 90.00
Fractional coordinates of all 4 atoms:
1 Li 0.000 0.000 0.000
2 Zr 0.000 0.277 0.277
3 Zr 0.500 0.610 0.610
4 Be 0.500 0.873 0.873

Summary:
SG: Amm2, No. 38
DFT formation energy: 73 kJ/mol of formula units
theoretical density: 4.7 g cm⁻³
V: 70 Å³/cell